LiVN after structural relaxation. Source: Alexandria, functional PBE-GGA.

a b c (Å): 3.338 3.338 5.482
angles (deg): 90.00 90.00 90.00
Sites, in units of the cell vectors:
Li 0.250 0.250 0.104
Li 0.750 0.750 0.896
V 0.250 0.750 0.500
V 0.750 0.250 0.500
N 0.250 0.250 0.734
N 0.750 0.750 0.266

Properties
Energy relative to the elements, uncorrected in eV/atom: -0.502
Distance to the lowest polymorph of the same formula in eV per atom: 0.0768

***

KHg2Ru after structural relaxation. Source: Alexandria, functional PBE-GGA.

a b c (Å): 3.742 3.742 7.867
angles (deg): 90.00 90.00 90.00
Sites, in units of the cell vectors:
K 0.000 0.000 0.000
Hg 0.000 0.000 0.417
Hg 0.500 0.500 0.696
Ru 0.500 0.500 0.343

Properties
Distance to the lowest polymorph of the same formula in eV per atom: 0.0993
ΔH_f (0 K) in eV/atom: 0.4806

***

PrZn5 after structural relaxation. Source: Alexandria, functional PBE-GGA.

a b c (Å): 4.478 11.300 4.515
angles (deg): 90.00 90.00 90.00
Sites, in units of the cell vectors:
Pr 0.000 0.000 0.000
Pr 0.500 0.500 0.000
Zn 0.000 0.182 0.500
Zn 0.000 0.312 0.000
Zn 0.000 0.500 0.500
Zn 0.000 0.688 0.000
Zn 0.000 0.818 0.500
Zn 0.500 0.000 0.500
Zn 0.500 0.188 0.000
Zn 0.500 0.318 0.500
Zn 0.500 0.682 0.500
Zn 0.500 0.812 0.000

Properties
ΔH_f (0 K) in eV/atom: -0.1276

***

no.,V (Å³/atom),total magnetization (μB/atom)
1,10.2,0.000
2,27.5,0.163
3,19.0,0.000